LaTlInSe3: optimized geometry, GGA-PBE.

Cell: 4.934 8.456 9.694 Å, 101.35 90.00 90.00°
Positions (direct):
Se (0.250, 0.529, 0.838)
Se (0.750, 0.218, 0.534)
In (0.750, 0.876, 0.408)
Tl (0.250, 0.218, 0.230)
In (0.250, 0.124, 0.592)
La (0.750, 0.313, 0.867)
Se (0.250, 0.087, 0.866)
Se (0.250, 0.782, 0.466)
La (0.250, 0.687, 0.133)
Se (0.750, 0.913, 0.134)
Se (0.750, 0.471, 0.162)
Tl (0.750, 0.782, 0.770)

Its formation energy from raw total energies is -1.00 eV/atom. As for the magnetization: 0.0000 μB/atom. As for the symmetry: P2_1/m (11). As for the density of states at the Fermi level: 0.32 states/eV per cell. As for the total DFT energy (no corrections): -0.1621 hartree per atom.